VASP calculation (PBE) on an optimized crystal structure of Tb3AuO.

CIF file:
```
data_Tb3AuO
_cell_length_a 9.250
_cell_length_b 12.737
_cell_length_c 3.749
_cell_angle_alpha 90.00
_cell_angle_beta 90.00
_cell_angle_gamma 90.00
_symmetry_space_group_name_H-M 'C m m m'
_symmetry_Int_Tables_number 65
_symmetry_space_group_name_Hall '-C 2 2'
loop_
_atom_site_label
_atom_site_fract_x
_atom_site_fract_y
_atom_site_fract_z
Tb1 0.000 0.185 0.000
Tb2 0.189 0.369 0.500
Au1 0.000 0.000 0.500
Au2 0.000 0.500 0.000
O1 0.250 0.250 0.000
```

D(E_F) ... 0.785 states/eV per atom
Total magnetization ... 0.0 Bohr magnetons per cell
Energy relative to the elements, uncorrected ... -7.12 eV per formula unit